# PBE-GGA Pr11Sm4Dy9, optimized geometry
# Calculated formation energy ... 0.06 eV/atom
data_Pr11Sm4Dy9
_cell_length_a 17.1300
_cell_length_b 25.8916
_cell_length_c 3.7157
_cell_angle_alpha 90.00
_cell_angle_beta 90.00
_cell_angle_gamma 90.00
_symmetry_space_group_name_H-M 'C m m m'
_symmetry_Int_Tables_number 65
_symmetry_space_group_name_Hall '-C 2 2'
loop_
_atom_site_label
_atom_site_type_symbol
_atom_site_fract_x
_atom_site_fract_y
_atom_site_fract_z
_atom_site_occupancy
Pr1 Pr 0.0000 0.0000 0.0000 1
Pr2 Pr 0.0000 0.1598 0.0000 1
Pr3 Pr 0.0000 0.3675 0.0000 1
Pr4 Pr 0.2089 0.5000 0.0000 1
Pr5 Pr 0.2243 0.1811 0.0000 1
Sm1 Sm 0.1566 0.3986 0.5000 1
Dy1 Dy 0.0000 0.5000 0.5000 1
Dy2 Dy 0.1014 0.2661 0.5000 1
Dy3 Dy 0.1391 0.0728 0.5000 1